P) # NaPbWI | Alexandria via LeMat-Bulk | PBE-GGA | optimized geometry
data_NaPbWI
_chemical_formula_sum 'Na1 Pb1 W1 I1'
_space_group_name_H-M_alt 'P 1'
_space_group_IT_number 1
_space_group_name_Hall 'P 1'
_cell_length_a 3.6486
_cell_length_b 3.6486
_cell_length_c 9.0179
_cell_angle_alpha 90.00
_cell_angle_beta 90.00
_cell_angle_gamma 120.00
loop_
_atom_site_label
_atom_site_type_symbol
_atom_site_fract_x
_atom_site_fract_y
_atom_site_fract_z
Na1 Na 0.0000 0.0000 0.0000
Pb1 Pb 0.6667 0.3333 0.2668
W1 W 0.0000 0.0000 0.4881
I1 I 0.6667 0.3333 0.6870
# Space group   P3m1 (156)
# D(E_F)   0.274 states/eV per atom
# Total moment   0.000 μB/f.u.


Q) # NaPbWI | Alexandria via LeMat-Bulk | PBE-GGA | optimized geometry
data_NaPbWI
_chemical_formula_sum 'Na1 Pb1 W1 I1'
_space_group_name_H-M_alt 'P 1'
_space_group_IT_number 1
_space_group_name_Hall 'P 1'
_cell_length_a 5.0057
_cell_length_b 5.0057
_cell_length_c 7.5820
_cell_angle_alpha 109.76
_cell_angle_beta 109.76
_cell_angle_gamma 40.09
loop_
_atom_site_label
_atom_site_type_symbol
_atom_site_fract_x
_atom_site_fract_y
_atom_site_fract_z
Na1 Na 0.0000 0.0000 0.0000
Pb1 Pb 0.8087 0.8087 0.2827
W1 W 0.5686 0.5686 0.4034
I1 I 0.1829 0.1829 0.7052
# Space group   Cm (8)
# D(E_F)   0.641 states/eV per atom
# Total moment   0.002 μB/f.u.


R) # NaPbWI | Alexandria via LeMat-Bulk | PBE-GGA | optimized geometry
data_NaPbWI
_chemical_formula_sum 'Na1 Pb1 W1 I1'
_space_group_name_H-M_alt 'P 1'
_space_group_IT_number 1
_space_group_name_Hall 'P 1'
_cell_length_a 3.0229
_cell_length_b 3.0909
_cell_length_c 11.9968
_cell_angle_alpha 84.14
_cell_angle_beta 85.53
_cell_angle_gamma 89.99
loop_
_atom_site_label
_atom_site_type_symbol
_atom_site_fract_x
_atom_site_fract_y
_atom_site_fract_z
Na1 Na 0.0000 0.0000 0.0000
Pb1 Pb 0.5753 0.5967 0.7574
W1 W 0.4341 0.4168 0.2106
I1 I 0.3609 0.3263 0.4323
# Space group   P1 (1)
# D(E_F)   0.881 states/eV per atom
# Total moment   0.000 μB/f.u.


S) # NaPbWI | Alexandria via LeMat-Bulk | PBE-GGA | optimized geometry
data_NaPbWI
_chemical_formula_sum 'Na1 Pb1 W1 I1'
_space_group_name_H-M_alt 'P 1'
_space_group_IT_number 1
_space_group_name_Hall 'P 1'
_cell_length_a 3.4188
_cell_length_b 7.6255
_cell_length_c 7.6255
_cell_angle_alpha 34.15
_cell_angle_beta 90.00
_cell_angle_gamma 90.00
loop_
_atom_site_label
_atom_site_type_symbol
_atom_site_fract_x
_atom_site_fract_y
_atom_site_fract_z
Na1 Na 0.0000 0.0000 0.0000
Pb1 Pb 0.0000 0.6910 0.6910
W1 W 0.5000 0.2050 0.2050
I1 I 0.5000 0.3917 0.3917
# Space group   Amm2 (38)
# D(E_F)   0.547 states/eV per atom
# Total moment   0.444 μB/f.u.


Which one sits at the top of the stability order? S) does.


P) # Na2PdI | Alexandria via LeMat-Bulk | PBE-GGA | optimized geometry
data_Na2PdI
_chemical_formula_sum 'Na2 Pd1 I1'
_space_group_name_H-M_alt 'P 1'
_space_group_IT_number 1
_space_group_name_Hall 'P 1'
_cell_length_a 5.2275
_cell_length_b 5.2275
_cell_length_c 5.2275
_cell_angle_alpha 60.00
_cell_angle_beta 60.00
_cell_angle_gamma 60.00
loop_
_atom_site_label
_atom_site_type_symbol
_atom_site_fract_x
_atom_site_fract_y
_atom_site_fract_z
Na1 Na 0.2500 0.2500 0.2500
Na2 Na 0.7500 0.7500 0.7500
Pd1 Pd 0.0000 0.0000 0.0000
I1 I 0.5000 0.5000 0.5000
# Space group   Fm-3m (225)
# D(E_F)   0.532 states/eV per atom
# Total moment   0.000 μB/f.u.


Q) # Na2PdI | Alexandria via LeMat-Bulk | PBE-GGA | optimized geometry
data_Na2PdI
_chemical_formula_sum 'Na4 Pd2 I2'
_space_group_name_H-M_alt 'P 1'
_space_group_IT_number 1
_space_group_name_Hall 'P 1'
_cell_length_a 6.6406
_cell_length_b 6.6406
_cell_length_c 6.6406
_cell_angle_alpha 102.20
_cell_angle_beta 102.20
_cell_angle_gamma 125.27
loop_
_atom_site_label
_atom_site_type_symbol
_atom_site_fract_x
_atom_site_fract_y
_atom_site_fract_z
Na1 Na 0.0949 0.1250 0.4699
Na2 Na 0.3750 0.9051 0.0301
Na3 Na 0.6551 0.6250 0.5301
Na4 Na 0.8750 0.3449 0.9699
Pd1 Pd 0.0000 0.0000 0.0000
Pd2 Pd 0.7500 0.2500 0.5000
I1 I 0.2500 0.7500 0.5000
I2 I 0.5000 0.5000 0.0000
# Space group   I-42d (122)
# D(E_F)   0.404 states/eV per atom
# Total moment   0.000 μB/f.u.


Which one sits at the top of the stability order? Q) does.


P) # NaPd3I | Alexandria via LeMat-Bulk | PBE-GGA | optimized geometry
data_NaPd3I
_chemical_formula_sum 'Na1 Pd3 I1'
_space_group_name_H-M_alt 'P 1'
_space_group_IT_number 1
_space_group_name_Hall 'P 1'
_cell_length_a 4.7898
_cell_length_b 4.7898
_cell_length_c 4.7898
_cell_angle_alpha 90.00
_cell_angle_beta 90.00
_cell_angle_gamma 90.00
loop_
_atom_site_label
_atom_site_type_symbol
_atom_site_fract_x
_atom_site_fract_y
_atom_site_fract_z
Na1 Na 0.0000 0.0000 0.0000
Pd1 Pd 0.0000 0.0000 0.5000
Pd2 Pd 0.0000 0.5000 0.0000
Pd3 Pd 0.5000 0.0000 0.0000
I1 I 0.5000 0.5000 0.5000
# Space group   Pm-3m (221)
# D(E_F)   0.481 states/eV per atom
# Total moment   0.000 μB/f.u.


Q) # NaPd3I | Alexandria via LeMat-Bulk | PBE-GGA | optimized geometry
data_NaPd3I
_chemical_formula_sum 'Na1 Pd3 I1'
_space_group_name_H-M_alt 'P 1'
_space_group_IT_number 1
_space_group_name_Hall 'P 1'
_cell_length_a 5.0529
_cell_length_b 5.0529
_cell_length_c 5.0529
_cell_angle_alpha 90.00
_cell_angle_beta 90.00
_cell_angle_gamma 90.00
loop_
_atom_site_label
_atom_site_type_symbol
_atom_site_fract_x
_atom_site_fract_y
_atom_site_fract_z
Na1 Na 0.0000 0.0000 0.0000
Pd1 Pd 0.0000 0.5000 0.5000
Pd2 Pd 0.5000 0.0000 0.5000
Pd3 Pd 0.5000 0.5000 0.0000
I1 I 0.5000 0.5000 0.5000
# Space group   Pm-3m (221)
# D(E_F)   0.000 states/eV per atom
# Total moment   0.000 μB/f.u.


Which one sits at the top of the stability order? Q) does.